Entry 1:
18
Lattice="6.067 0.000 0.000 0.000 6.067 0.000 0.000 0.000 11.205" Properties=species:S:1:pos:R:3 comment="GaSn2S6 PBE optimized geometry" e_form_raw_mev_per_atom=-163 magmom_total_mub_per_fu=0.00 pbc="T T T"
S 1.885 1.885 7.393
S 1.885 1.885 3.812
Sn 3.034 3.034 9.332
S 4.244 4.244 0.000
Sn 0.000 0.000 7.476
S 4.919 1.148 9.415
S 4.857 1.210 5.603
S 1.148 4.919 9.415
S 1.148 4.919 1.791
Sn 3.034 3.034 1.874
S 1.824 1.824 0.000
S 4.919 1.148 1.791
Ga 3.034 3.034 5.603
S 4.182 4.182 7.393
Ga 0.000 0.000 0.000
Sn 0.000 0.000 3.729
S 4.182 4.182 3.812
S 1.210 4.857 5.603



Entry 2:
10
Lattice="-0.613 -3.612 7.563 -5.791 -1.567 -5.882 6.333 -2.785 -5.491" Properties=species:S:1:pos:R:3 comment="CsLaTl2Br6 PBE optimized geometry" e_form_raw_mev_per_atom=-1519 magmom_total_mub_per_fu=0.00 pbc="T T T"
Cs 0.251 -2.236 -5.645
Br 0.310 -2.144 1.871
Br 3.441 -2.522 -4.054
Tl 3.555 -5.173 -2.116
Tl -2.662 -4.342 -2.217
Br -3.798 -4.634 0.976
La -0.273 -7.762 -3.658
Br 0.356 -5.716 -1.583
Br -1.028 -1.358 -2.217
Br -1.336 -5.400 -5.134



Entry 3:
18
Lattice="6.057 0.000 0.000 0.000 8.900 0.000 0.000 0.000 8.900" Properties=species:S:1:pos:R:3 comment="Nd4ErAl4 PBE optimized geometry" formation_energy_ev_per_atom=-0.153 magmom_total_mub_per_fu=0.00 pbc="T T T"
Nd 2.272 5.107 1.535
Er 0.000 0.000 0.000
Al 0.644 2.790 3.649
Nd 5.301 5.985 8.242
Nd 0.756 0.657 5.985
Nd 3.785 7.364 5.107
Er 3.028 4.450 4.450
Nd 2.272 3.793 7.364
Al 0.644 6.110 5.251
Al 5.413 5.251 2.790
Al 2.384 1.660 0.801
Al 3.673 0.801 7.239
Nd 5.301 2.915 0.657
Nd 0.756 8.242 2.915
Al 5.413 3.649 6.110
Al 2.384 7.239 8.098
Al 3.673 8.098 1.660
Nd 3.785 1.535 3.793



Entry 4:
5
Lattice="-3.562 -0.317 -4.148 -3.683 -2.299 3.338 -1.304 3.344 0.864" Properties=species:S:1:pos:R:3 comment="OsI2NF PBE optimized geometry" e_form_raw_mev_per_atom=285 magmom_total_mub_per_fu=0.00 pbc="T T T"
F -4.274 0.364 0.027
I -1.781 -0.158 -2.074
I -1.841 -1.150 1.669
N -0.652 1.672 0.432
Os 0.000 0.000 0.000



Entry 5:
4
Lattice="3.859 0.000 0.000 0.000 3.861 0.000 0.000 0.000 4.423" Properties=species:S:1:pos:R:3 comment="ZrZn2Ir PBE optimized geometry" formation_energy_ev_per_atom=-0.376 magmom_total_mub_per_fu=0.00 pbc="T T T"
Ir 0.000 1.931 2.211
Zn 1.930 1.931 0.000
Zn 0.000 0.000 0.000
Zr 1.930 0.000 2.211



Entry 6:
8
Lattice="-5.305 1.541 -0.373 -1.343 -3.677 3.916 -2.908 0.832 3.699" Properties=species:S:1:pos:R:3 comment="H2WSe PBE optimized geometry" dft_energy_ev_per_atom=-5.322 magmom_total_mub_per_fu=0.00 pbc="T T T"
W 0.000 0.000 0.000
H -4.561 0.132 3.774
Se -3.324 -1.068 1.772
Se -3.787 -1.957 4.693
H -1.784 -2.027 3.357
W -5.769 0.652 2.549
H -4.656 0.841 1.150
H -8.111 -1.554 6.204



Entry 7:
4
Lattice="5.004 0.000 0.000 2.502 4.334 0.000 2.502 1.445 4.086" Properties=species:S:1:pos:R:3 comment="TbErHgOs PBE optimized geometry" formation_energy_ev_per_atom=-0.268 magmom_total_mub_per_fu=0.00 pbc="T T T"
Er 0.000 0.000 0.000
Os 2.502 1.445 1.021
Hg 7.506 4.334 3.064
Tb 5.004 2.889 2.043



Entry 8:
6
Lattice="5.167 0.000 0.001 4.439 2.644 0.001 -8.113 -2.233 6.293" Properties=species:S:1:pos:R:3 comment="Tc2Rh PBE optimized geometry" formation_energy_ev_per_atom=-0.119 magmom_total_mub_per_fu=0.00 pbc="T T T"
Tc 3.702 1.019 2.120
Tc 1.117 0.307 2.441
Tc -4.785 -1.317 4.536
Rh -0.002 -0.001 0.015
Tc 7.012 1.930 0.356
Rh -2.205 -0.607 4.173



Entry 9:
5
Lattice="6.395 0.000 0.000 0.000 6.395 0.000 0.000 0.000 6.395" Properties=species:S:1:pos:R:3 comment="Rb3SbOs PBE optimized geometry" e_form_raw_mev_per_atom=1179 magmom_total_mub_per_fu=4.00 pbc="T T T"
Rb 0.000 0.000 3.197
Sb 3.197 3.197 3.197
Rb 0.000 3.197 0.000
Rb 3.197 0.000 0.000
Os 0.000 0.000 0.000



Entry 10:
4
Lattice="-0.762 -4.899 -0.604 3.481 -2.814 -2.215 2.634 -3.287 2.684" Properties=species:S:1:pos:R:3 comment="CaPrCuIr PBE optimized geometry" formation_energy_ev_per_atom=-0.300 magmom_total_mub_per_fu=0.00 pbc="T T T"
Pr 0.000 0.000 0.000
Cu 1.338 -2.750 -0.034
Ca 2.677 -5.500 -0.067
Ir 4.015 -8.250 -0.101



Entry 11:
20
Lattice="7.276 0.000 0.000 0.000 9.561 -0.012 0.000 -2.145 9.317" Properties=species:S:1:pos:R:3 comment="Er3HgTe6 PBE optimized geometry" e_form_raw_mev_per_atom=-968 magmom_total_mub_per_fu=0.00 pbc="T T T"
Te 4.918 2.075 3.469
Er 3.502 7.213 6.738
Er 7.140 4.958 8.535
Te 5.345 7.749 4.264
Te 0.935 6.879 2.125
Te 1.707 -0.334 5.041
Te 4.979 9.176 0.295
Hg 0.091 0.344 7.333
Te 5.345 4.988 0.800
Er 3.502 2.457 0.770
Hg 3.729 7.072 1.972
Te 1.341 -1.760 9.010
Er 6.378 4.833 3.756
Te 1.280 2.919 2.797
Te 1.280 5.340 5.836
Te 4.573 0.536 7.180
Te 4.918 4.497 6.508
Er 7.140 0.202 2.567
Te 1.707 2.427 8.505
Er 2.740 2.583 5.549



Entry 12:
4
Lattice="-0.305 4.026 -2.694 -3.016 3.288 -1.910 -0.093 3.578 3.043" Properties=species:S:1:pos:R:3 comment="Cr2HgRu PBE optimized geometry" formation_energy_ev_per_atom=0.436 magmom_total_mub_per_fu=0.44 pbc="T T T"
Ru -0.919 2.717 -0.621
Hg -1.701 5.460 -0.748
Cr -2.488 8.112 -0.974
Cr -0.013 0.049 0.001



What is the formula in the fifth record? ZrZn2Ir